ZnFe2H after structural relaxation, computed with PBE.

Results
The calculation puts the energy relative to the lowest polymorph listed for this composition at 0 meV per atom.

Cell lengths 2.6234, 2.6234, 6.6555 Å; angles 78.63, 78.63, 60.00 degrees
Last column: magnetic moment on the atom in μB.
Sites, in units of the cell vectors:
H 0.0000 0.0000 0.0000  -0.02
Zn 0.5000 0.5000 0.5000  -0.07
Fe 0.7236 0.7236 0.8291  2.25
Fe 0.2764 0.2764 0.1709  2.25

---

ZnFe3H after structural relaxation, computed with PBE.

Results
The calculation puts the energy relative to the lowest polymorph listed for this composition at 298 meV per atom.

Cell lengths 4.1033, 4.1033, 7.2477 Å; angles 90.00, 90.00, 120.00 degrees
Last column: magnetic moment on the atom in μB.
Sites, in units of the cell vectors:
H 0.0000 0.0000 0.0000  -0.02
H 0.0000 0.0000 0.5000  -0.02
Zn 0.3333 0.6667 0.7500  -0.08
Zn 0.6667 0.3333 0.2500  -0.08
Fe 0.0000 0.0000 0.2500  2.23
Fe 0.0000 0.0000 0.7500  2.23
Fe 0.3333 0.6667 0.0846  2.50
Fe 0.3333 0.6667 0.4154  2.52
Fe 0.6667 0.3333 0.5846  2.52
Fe 0.6667 0.3333 0.9154  2.50

---

ZnFe3H after structural relaxation, computed with PBE.

Results
The calculation puts the energy relative to the lowest polymorph listed for this composition at 187 meV per atom.

Cell lengths 5.0380, 5.0380, 4.8826 Å; angles 90.00, 90.00, 121.01 degrees
Last column: magnetic moment on the atom in μB.
Sites, in units of the cell vectors:
H 0.1390 0.8610 0.2500  -0.02
H 0.8610 0.1390 0.7500  -0.02
Zn 0.5375 0.4625 0.2500  -0.06
Zn 0.4625 0.5375 0.7500  -0.06
Fe 0.0352 0.4733 0.2500  2.42
Fe 0.5267 0.9648 0.2500  2.60
Fe 0.4733 0.0352 0.7500  2.60
Fe 0.9648 0.5267 0.7500  2.42
Fe 0.0000 0.0000 0.0000  2.36
Fe 0.0000 0.0000 0.5000  2.36

---

ZnFe3H after structural relaxation, computed with PBE.

Results
The calculation puts the energy relative to the lowest polymorph listed for this composition at 391 meV per atom.

Cell lengths 4.8549, 4.8549, 5.6204 Å; angles 64.41, 64.41, 90.00 degrees
Last column: magnetic moment on the atom in μB.
Sites, in units of the cell vectors:
H 0.0000 0.0000 0.0000  -0.02
H 0.2500 0.7500 0.5000  -0.02
Zn 0.6130 0.1130 0.7739  -0.04
Zn 0.8870 0.3870 0.2261  -0.04
Fe 0.6215 0.8662 0.2676  2.02
Fe 0.1338 0.3785 0.7324  2.26
Fe 0.1338 0.8891 0.7324  2.30
Fe 0.1109 0.8662 0.2676  2.21
Fe 0.3820 0.3820 0.2360  -0.07
Fe 0.6180 0.6180 0.7640  0.10

---

ZnFe3H after structural relaxation, computed with PBE.

Results
The calculation puts the energy relative to the lowest polymorph listed for this composition at 62 meV per atom.

Cell lengths 21.5403, 4.1324, 8.2849 Å; angles 90.00, 163.98, 90.00 degrees
Last column: magnetic moment on the atom in μB.
Sites, in units of the cell vectors:
H 0.6255 0.6128 0.8798  -0.03
H 0.3745 0.3872 0.1202  -0.03
H 0.8745 0.1128 0.6202  -0.03
H 0.1255 0.8872 0.3798  -0.03
Zn 0.1256 0.9990 0.6881  -0.08
Zn 0.8744 0.0010 0.3119  -0.08
Zn 0.3744 0.4990 0.8119  -0.08
Zn 0.6256 0.5010 0.1881  -0.08
Fe 0.3939 0.9950 0.1014  2.33
Fe 0.6061 0.0050 0.8986  2.33
Fe 0.1061 0.4950 0.3986  2.33
Fe 0.8939 0.5050 0.6014  2.33
Fe 0.3658 0.5005 0.2965  2.15
Fe 0.6342 0.4995 0.7035  2.15
Fe 0.1342 0.0005 0.2035  2.15
Fe 0.8658 0.9995 0.7965  2.15
Fe 0.3685 0.0001 0.5513  2.36
Fe 0.6315 0.9999 0.4487  2.36
Fe 0.1315 0.5001 0.9487  2.36
Fe 0.8685 0.4999 0.0513  2.36

---

ZnFe3H after structural relaxation, computed with PBE.

Results
The calculation puts the energy relative to the lowest polymorph listed for this composition at 144 meV per atom.

Cell lengths 4.4321, 4.9709, 5.2234 Å; angles 105.04, 89.89, 116.47 degrees
Last column: magnetic moment on the atom in μB.
Sites, in units of the cell vectors:
H 0.0036 0.1448 0.0776  -0.01
H 0.2316 0.6456 0.1752  -0.02
Zn 0.5601 0.9179 0.5234  -0.04
Zn 0.4413 0.4026 0.6331  -0.06
Fe 0.5481 0.9076 0.0197  2.04
Fe 0.9476 0.4118 0.3872  2.10
Fe 0.4643 0.4090 0.1341  2.15
Fe 0.0505 0.9022 0.7666  2.30
Fe 0.9485 0.4164 0.8821  2.14
Fe 0.0367 0.8966 0.2585  -0.91

---

ZnFe3H after structural relaxation, computed with PBE.

Results
The calculation puts the energy relative to the lowest polymorph listed for this composition at 189 meV per atom.

Cell lengths 13.3026, 6.3226, 6.3226 Å; angles 146.78, 152.13, 27.87 degrees
Last column: magnetic moment on the atom in μB.
Sites, in units of the cell vectors:
H 0.6381 0.9556 0.0444  -0.02
H 0.3619 0.0444 0.9556  -0.02
Zn 0.8708 0.0445 0.9555  -0.08
Zn 0.1292 0.9555 0.0445  -0.08
Fe 0.6220 0.4822 0.5178  2.30
Fe 0.3780 0.5178 0.4822  2.30
Fe 0.1209 0.1786 0.8214  2.35
Fe 0.8791 0.8214 0.1786  2.35
Fe 0.6275 0.6813 0.3187  2.35
Fe 0.3725 0.3187 0.6813  2.35

---

ZnFe3H after structural relaxation, computed with PBE.

Results
The calculation puts the energy relative to the lowest polymorph listed for this composition at 184 meV per atom.

Cell lengths 4.5270, 4.7784, 5.0742 Å; angles 62.88, 90.00, 90.00 degrees
Last column: magnetic moment on the atom in μB.
Sites, in units of the cell vectors:
H 0.3739 0.6659 0.0144  -0.01
H 0.8726 0.1659 0.0143  -0.01
Zn 0.7120 0.2976 0.5901  -0.04
Zn 0.5344 0.7976 0.5901  -0.04
Fe 0.7075 0.7943 0.0997  0.14
Fe 0.0434 0.0316 0.3589  2.22
Fe 0.5390 0.2943 0.0997  0.14
Fe 0.2135 0.0593 0.8657  2.02
Fe 0.0329 0.5594 0.8656  2.02
Fe 0.2030 0.5315 0.3590  2.22

---

ZnFe3H after structural relaxation, computed with PBE.

Results
The calculation puts the energy relative to the lowest polymorph listed for this composition at 78 meV per atom.

Cell lengths 4.6052, 5.7652, 5.1713 Å; angles 63.16, 89.87, 59.80 degrees
Last column: magnetic moment on the atom in μB.
Sites, in units of the cell vectors:
H 0.0767 0.2178 0.6357  -0.02
H 0.0768 0.2177 0.1357  -0.02
Zn 0.5533 0.4828 0.5033  -0.07
Zn 0.6002 0.9527 0.7683  -0.07
Fe 0.5709 0.4690 0.0101  2.53
Fe 0.0731 0.4727 0.2617  2.30
Fe 0.5827 0.9664 0.2615  2.53
Fe 0.0805 0.9628 0.0098  2.30
Fe 0.0724 0.4731 0.7541  2.30
Fe 0.0810 0.9625 0.5173  2.30

---

ZnFe3H after structural relaxation, computed with PBE.

Results
The calculation puts the energy relative to the lowest polymorph listed for this composition at 257 meV per atom.

Cell lengths 4.7690, 6.4860, 7.0251 Å; angles 90.00, 90.00, 90.00 degrees
Last column: magnetic moment on the atom in μB.
Sites, in units of the cell vectors:
H 0.5060 0.2500 0.5560  -0.02
H 0.9940 0.7500 0.0560  -0.02
H 0.4940 0.7500 0.4440  -0.02
H 0.0060 0.2500 0.9440  -0.02
Zn 0.0000 0.0000 0.5000  -0.07
Zn 0.5000 0.5000 0.0000  -0.07
Zn 0.5000 0.0000 0.0000  -0.07
Zn 0.0000 0.5000 0.5000  -0.07
Fe 0.0031 0.9254 0.8480  2.26
Fe 0.4969 0.4254 0.3480  2.26
Fe 0.4969 0.0746 0.3480  2.26
Fe 0.9969 0.4254 0.1520  2.26
Fe 0.9969 0.0746 0.1520  2.26
Fe 0.5031 0.5746 0.6520  2.26
Fe 0.5031 0.9254 0.6520  2.26
Fe 0.0031 0.5746 0.8480  2.26
Fe 0.2528 0.2500 0.7468  2.29
Fe 0.2472 0.7500 0.2468  2.32
Fe 0.7472 0.7500 0.2532  2.29
Fe 0.7528 0.2500 0.7532  2.32

---

Zn2Fe2H after structural relaxation, computed with PBE.

Results
The calculation puts the energy relative to the lowest polymorph listed for this composition at 0 meV per atom.

Cell lengths 2.6495, 2.6464, 8.9296 Å; angles 90.13, 81.47, 59.96 degrees
Last column: magnetic moment on the atom in μB.
Sites, in units of the cell vectors:
Zn 0.5799 0.7067 0.1335  -0.03
Zn 0.4201 0.2933 0.8665  -0.03
Fe 0.7525 0.1203 0.3747  2.32
Fe 0.2475 0.8797 0.6253  2.32
H 0.0000 0.5000 0.5000  -0.02

---

ZnFe3H after structural relaxation, computed with PBE.

Results
The calculation puts the energy relative to the lowest polymorph listed for this composition at 46 meV per atom.

Cell lengths 4.6187, 5.7641, 5.1718 Å; angles 63.25, 90.06, 120.53 degrees
Last column: magnetic moment on the atom in μB.
Sites, in units of the cell vectors:
H 0.0207 0.8191 0.8733  -0.02
H 0.0776 0.3467 0.1098  -0.02
Zn 0.5988 0.1016 0.7322  -0.08
Zn 0.5834 0.5983 0.4840  -0.07
Fe 0.5774 0.0935 0.2361  2.53
Fe 0.0911 0.6050 0.2393  2.35
Fe 0.5660 0.5871 0.9896  2.35
Fe 0.0809 0.0945 0.9860  2.35
Fe 0.0912 0.6051 0.7216  2.35
Fe 0.0807 0.0945 0.4857  2.35

---

ZnFe3H after structural relaxation, computed with PBE.

Results
The calculation puts the energy relative to the lowest polymorph listed for this composition at 566 meV per atom.

Cell lengths 2.4043, 6.8350, 6.8350 Å; angles 139.39, 90.00, 90.00 degrees
Last column: magnetic moment on the atom in μB.
Sites, in units of the cell vectors:
H 0.0000 0.4653 0.5347  -0.02
Zn 0.5000 0.0857 0.9143  -0.04
Fe 0.5000 0.1565 0.3398  2.30
Fe 0.5000 0.6602 0.8435  2.33
Fe 0.0000 0.2604 0.7396  2.65

---

ZnFe3H after structural relaxation, computed with PBE.

Results
The calculation puts the energy relative to the lowest polymorph listed for this composition at 180 meV per atom.

Cell lengths 12.7761, 7.3335, 7.3335 Å; angles 118.83, 144.09, 35.91 degrees
Last column: magnetic moment on the atom in μB.
Sites, in units of the cell vectors:
H 0.2666 0.2494 0.5844  -0.02
H 0.2334 0.0844 0.7494  -0.02
H 0.7334 0.7506 0.4156  -0.02
H 0.7666 0.9156 0.2506  -0.02
Zn 0.7500 0.1561 0.6561  -0.01
Zn 0.2500 0.8439 0.3439  -0.01
Zn 0.7500 0.5339 0.0339  0.00
Zn 0.2500 0.4661 0.9661  0.00
Fe 0.3598 0.3846 0.4449  1.31
Fe 0.1402 0.9449 0.8846  1.31
Fe 0.6402 0.6154 0.5551  1.31
Fe 0.8598 0.0551 0.1154  1.31
Fe 0.1349 0.2875 0.2095  1.13
Fe 0.3651 0.7095 0.7875  1.13
Fe 0.8651 0.7125 0.7905  1.13
Fe 0.6349 0.2905 0.2125  1.13
Fe 0.6317 0.9615 0.8739  1.29
Fe 0.8683 0.3739 0.4615  1.29
Fe 0.3683 0.0385 0.1261  1.29
Fe 0.1317 0.6261 0.5385  1.29

---

ZnFe3H after structural relaxation, computed with PBE.

Results
The calculation puts the energy relative to the lowest polymorph listed for this composition at 610 meV per atom.

Cell lengths 6.7237, 6.7237, 4.5957 Å; angles 90.00, 90.00, 137.63 degrees
Last column: magnetic moment on the atom in μB.
Sites, in units of the cell vectors:
H 0.4377 0.5623 0.2500  -0.02
H 0.5623 0.4377 0.7500  -0.02
Zn 0.1752 0.8248 0.2500  -0.07
Zn 0.8248 0.1752 0.7500  -0.07
Fe 0.0859 0.3933 0.2500  2.58
Fe 0.6067 0.9141 0.2500  2.65
Fe 0.3933 0.0859 0.7500  2.65
Fe 0.9141 0.6067 0.7500  2.58
Fe 0.0000 0.0000 0.0000  2.54
Fe 0.0000 0.0000 0.5000  2.56

---

ZnFe3H after structural relaxation, computed with PBE.

Results
The calculation puts the energy relative to the lowest polymorph listed for this composition at 86 meV per atom.

Cell lengths 7.0716, 4.5515, 3.5512 Å; angles 67.03, 104.61, 91.72 degrees
Last column: magnetic moment on the atom in μB.
Sites, in units of the cell vectors:
H 0.4331 0.1455 0.5375  -0.02
H 0.3489 0.7410 0.1976  -0.02
Zn 0.9414 0.6363 0.5458  -0.07
Zn 0.0633 0.0308 0.9096  -0.07
Fe 0.4431 0.1505 0.0401  2.28
Fe 0.8092 0.2526 0.1713  2.45
Fe 0.6943 0.8749 0.8026  2.49
Fe 0.3143 0.7668 0.6674  2.23
Fe 0.1958 0.4023 0.2906  2.31
Fe 0.5790 0.5102 0.4276  2.39

---

ZnFe3H after structural relaxation, computed with PBE.

Results
The calculation puts the energy relative to the lowest polymorph listed for this composition at 70 meV per atom.

Cell lengths 4.2471, 5.1516, 4.6013 Å; angles 90.00, 91.09, 90.00 degrees
Last column: magnetic moment on the atom in μB.
Sites, in units of the cell vectors:
H 0.5409 0.2500 0.9667  -0.02
H 0.4591 0.7500 0.0333  -0.02
Zn 0.2472 0.2500 0.3475  -0.09
Zn 0.7528 0.7500 0.6525  -0.09
Fe 0.7567 0.5088 0.1590  2.28
Fe 0.2433 0.4912 0.8410  2.28
Fe 0.7567 0.9912 0.1590  2.29
Fe 0.2433 0.0088 0.8410  2.29
Fe 0.7595 0.2500 0.6579  2.31
Fe 0.2405 0.7500 0.3421  2.31

---

ZnFe3H after structural relaxation, computed with PBE.

Results
The calculation puts the energy relative to the lowest polymorph listed for this composition at 0 meV per atom.

Cell lengths 3.6886, 3.6886, 3.6886 Å; angles 90.00, 90.00, 90.00 degrees
Last column: magnetic moment on the atom in μB.
Sites, in units of the cell vectors:
H 0.0000 0.0000 0.0000  -0.02
Zn 0.5000 0.5000 0.5000  -0.08
Fe 0.0000 0.5000 0.0000  2.40
Fe 0.0000 0.0000 0.5000  2.62
Fe 0.5000 0.0000 0.0000  2.07

---

ZnFeH2 after structural relaxation, computed with PBE.

Results
The calculation puts the energy relative to the lowest polymorph listed for this composition at 131 meV per atom.

Cell lengths 4.0064, 4.0064, 4.9494 Å; angles 66.13, 66.13, 90.00 degrees
Last column: magnetic moment on the atom in μB.
Sites, in units of the cell vectors:
H 0.5751 0.1250 0.2500  -0.01
H 0.1749 0.6250 0.2500  -0.01
H 0.3750 0.4249 0.7500  -0.01
H 0.8750 0.8251 0.7500  -0.01
Zn 0.0000 0.0000 0.0000  -0.05
Zn 0.7500 0.2500 0.5000  -0.05
Fe 0.5000 0.5000 0.0000  1.72
Fe 0.2500 0.7500 0.5000  1.72

---

Zn2FeH4 after structural relaxation, computed with PBE.

Cell lengths 3.3985, 3.3985, 5.2823 Å; angles 71.24, 71.24, 90.00 degrees
Last column: magnetic moment on the atom in μB.
Sites, in units of the cell vectors:
H 0.1778 0.1778 0.6443  0.00
H 0.8222 0.8222 0.3557  0.00
H 0.0000 0.5000 0.0000  0.00
H 0.5000 0.0000 0.0000  0.00
Zn 0.3625 0.3625 0.2749  0.02
Zn 0.6375 0.6375 0.7251  0.02
Fe 0.0000 0.0000 0.0000  0.39

---

Going through the records in order, we get raw total energy values of -21.446; -57.372; -58.492; -56.448; -119.475; -58.920; -58.468; -58.521; -59.578; -115.582; -22.719; -59.895; -27.347; -117.110; -54.253; -59.493; -59.658; -30.178; -31.078; -22.745 eV per cell.